Record 1
First-principles (PBEsol) data for a geometry-optimized KRuW structure, as listed in Alexandria via LeMat-Bulk.

Unit cell a=3.056 b=3.056 c=7.360 alpha=101.98 beta=101.98 gamma=90.00
Sites, in units of the cell vectors:
Ru1 0.701 0.701 0.402
W1 0.289 0.289 0.579
K1 0.010 0.010 0.019

Output
Calculated formation energy, kJ/mol of formula units: 278
Total magnetization, Bohr magnetons per cell: 0.00
Density, g/cm3: 8.191


Record 2
First-principles (PBEsol) data for a geometry-optimized K2RuW structure, as listed in Alexandria via LeMat-Bulk.

Unit cell a=3.035 b=3.708 c=10.357 alpha=90.00 beta=90.00 gamma=90.00
Sites, in units of the cell vectors:
K1 0.000 0.000 0.919
K2 0.500 0.500 0.335
W1 0.500 0.500 0.660
Ru1 0.000 0.000 0.586

Output
Calculated formation energy, kJ/mol of formula units: 326
Total magnetization, Bohr magnetons per cell: 0.00
Density, g/cm3: 5.174